(1)
7
Lattice="-2.2485 2.2485 5.2956 2.2485 -2.2485 5.2956 2.2485 2.2485 -5.2956" Properties=species:S:1:pos:R:3 comment="KBe4C2 | the Alexandria database | GGA-PBE | relaxed" sg="No. 139" energy_ev_per_atom=-2.96 formation_energy_ev_per_atom=1.966 dos_at_fermi_per_ev_cell=2.471 volume_a3_per_cell=107 pbc="T T T"
K 0.0000 0.0000 0.0000
Be 2.2485 0.0000 0.0000
Be 0.0000 0.0000 2.9909
Be 0.0000 2.2485 0.0000
Be 0.0000 0.0000 7.6004
C 0.0000 0.0000 4.6160
C 0.0000 0.0000 5.9753

---

(2)
16
Lattice="0.0000 5.3944 9.7543 2.0716 0.0000 9.7543 2.0716 5.3944 0.0000" Properties=species:S:1:pos:R:3 comment="K2BeCO4 | the Alexandria database | GGA-PBE | relaxed" sg="No. 70" energy_ev_per_atom=-6.17 dos_at_fermi_per_ev_cell=0.000 raw_formation_energy_kj_per_mol_fu=-1391 volume_a3_per_cell=218 pbc="T T T"
K 1.5537 4.0458 0.9309
K 2.5896 6.7430 5.8080
K 1.5537 4.0458 13.7005
K 2.5896 6.7430 18.5777
Be 0.5179 1.3486 2.4386
Be 3.6254 9.4402 17.0700
C 1.5537 4.0458 7.3157
C 2.5896 6.7430 12.1929
O 2.4379 3.2530 6.5343
O 2.4379 4.8386 8.0971
O 3.4737 5.9502 12.9743
O 3.4737 7.5358 11.4114
O 0.6696 3.2530 8.0971
O 0.6696 4.8386 6.5343
O 1.7054 5.9502 11.4114
O 1.7054 7.5358 12.9743

---

(3)
11
Lattice="5.8951 -2.3341 0.0000 5.8951 2.3341 0.0000 -3.2703 0.0000 5.5234" Properties=species:S:1:pos:R:3 comment="K2BeC2O6 | the Alexandria database | GGA-PBE | relaxed" sg="No. 12" energy_ev_per_atom=-6.64 dos_at_fermi_per_ev_cell=0.000 raw_formation_energy_kj_per_mol_fu=-1826 volume_a3_per_cell=152 pbc="T T T"
K 1.6600 0.0000 1.0457
K 6.8599 0.0000 4.4778
Be -1.6352 0.0000 2.7617
C 3.5379 0.0000 3.9148
C 4.9820 0.0000 1.6086
O 4.3014 1.1268 1.5154
O 4.2185 1.1268 4.0081
O 2.2792 0.0000 3.7649
O 6.2407 0.0000 1.7585
O 4.3014 -1.1268 1.5154
O 4.2185 -1.1268 4.0081

---

(4)
60
Lattice="13.6700 0.0000 0.0000 0.0000 9.1628 0.0000 0.0000 0.0000 6.7427" Properties=species:S:1:pos:R:3 comment="K2BeC4O8 | the Alexandria database | GGA-PBE | relaxed" sg="No. 62" energy_ev_per_atom=-7.10 dos_at_fermi_per_ev_cell=0.000 raw_formation_energy_kj_per_mol_fu=-2313 volume_a3_per_cell=845 pbc="T T T"
K 1.4360 0.0246 1.2996
K 1.4360 4.5567 1.2996
K 5.3991 4.6060 4.6710
K 5.3991 9.1381 4.6710
K 8.2710 0.0246 2.0717
K 8.2710 4.5567 2.0717
K 12.2341 4.6060 5.4430
K 12.2341 9.1381 5.4430
Be 3.3809 2.2907 6.2739
Be 3.4541 6.8721 2.9026
Be 10.2159 2.2907 3.8401
Be 10.2891 6.8721 0.4688
C 1.2860 2.2907 5.0851
C 1.9221 6.0911 4.5913
C 1.9221 7.6531 4.5913
C 2.4573 2.2907 4.0497
C 4.3777 6.8721 0.6784
C 4.9129 1.5097 1.2200
C 4.9129 3.0717 1.2200
C 5.5490 6.8721 1.7138
C 8.1210 2.2907 5.0289
C 8.7571 6.0911 5.5227
C 8.7571 7.6531 5.5227
C 9.2923 2.2907 6.0643
C 11.2127 6.8721 2.6929
C 11.7479 1.5097 2.1513
C 11.7479 3.0717 2.1513
C 12.3840 6.8721 1.6575
O 0.0975 2.2907 4.7476
O 1.2195 5.4152 5.3492
O 1.2195 8.3290 5.3492
O 1.7463 2.2907 6.3101
O 2.2666 2.2907 2.8291
O 2.7413 5.6224 3.6827
O 2.7413 8.1218 3.6827
O 3.2191 6.8721 1.2834
O 3.6159 2.2907 4.6547
O 4.0937 1.0410 0.3114
O 4.0937 3.5404 0.3114
O 4.5684 6.8721 6.2004
O 5.0887 6.8721 2.9388
O 5.6155 0.8338 1.9779
O 5.6155 3.7476 1.9779
O 6.7375 6.8721 1.3762
O 6.9325 2.2907 5.3664
O 8.0545 5.4152 4.7648
O 8.0545 8.3290 4.7648
O 8.5813 2.2907 3.8039
O 9.1016 2.2907 0.5422
O 9.5763 5.6224 6.4313
O 9.5763 8.1218 6.4313
O 10.0541 6.8721 2.0879
O 10.4509 2.2907 5.4592
O 10.9287 1.0410 3.0599
O 10.9287 3.5404 3.0599
O 11.4034 6.8721 3.9136
O 11.9237 6.8721 0.4325
O 12.4505 0.8338 1.3934
O 12.4505 3.7476 1.3934
O 13.5725 6.8721 1.9951

---

(5)
26
Lattice="4.9745 0.0000 0.0000 0.0000 9.1517 0.0000 -0.0127 0.0000 9.9943" Properties=species:S:1:pos:R:3 comment="K3BePCO7 | the Alexandria database | GGA-PBE | relaxed" sg="No. 11" energy_ev_per_atom=-6.43 dos_at_fermi_per_ev_cell=0.000 raw_formation_energy_kj_per_mol_fu=-2633 volume_a3_per_cell=455 pbc="T T T"
K 1.0356 2.2879 0.7118
K 1.4009 0.2615 6.9364
K 1.4009 4.3143 6.9364
K 3.5609 4.8373 3.0579
K 3.5609 8.8902 3.0579
K 3.9261 6.8638 9.2825
Be 1.1527 6.8638 4.3494
Be 3.8090 2.2879 5.6449
P 1.2560 2.2879 3.9751
P 3.7057 6.8638 6.0192
C 1.0105 6.8638 1.7139
C 3.9512 2.2879 8.2804
O 0.2539 2.2879 8.2403
O 0.3259 2.2879 5.2580
O 1.0529 1.0043 3.1650
O 1.0529 3.5715 3.1650
O 1.6851 6.8638 0.6302
O 1.6860 6.8638 2.8906
O 2.2215 6.8638 5.4569
O 2.7402 2.2879 4.5374
O 3.2757 2.2879 7.1037
O 3.2767 2.2879 9.3640
O 3.9088 5.5802 6.8292
O 3.9088 8.1474 6.8292
O 4.6358 6.8638 4.7363
O 4.7078 6.8638 1.7540

---

(6)
5
Lattice="5.9341 0.0000 0.0000 0.0000 5.9341 0.0000 0.0000 0.0000 3.8572" Properties=species:S:1:pos:R:3 comment="K2BePdC | the Alexandria database | GGA-PBE | relaxed" sg="No. 123" energy_ev_per_atom=-3.18 formation_energy_ev_per_atom=0.889 dos_at_fermi_per_ev_cell=2.488 volume_a3_per_cell=136 pbc="T T T"
K 0.0000 2.9671 0.0000
K 2.9671 0.0000 0.0000
Be 0.0000 0.0000 1.9286
Pd 2.9671 2.9671 1.9286
C 2.9671 2.9671 0.0000